[1]
Al2FeBr | GGA-PBEsol | relaxed

Computed properties:
The uncorrected formation energy comes out at 0.340 eV/atom. The value obtained for the density of states at the Fermi level is 3.23 states/eV/f.u.

Cell lengths 10.5011, 2.9478, 4.4882 Å; angles 90.00, 102.27, 90.00 degrees
Closest atoms and distances in Å follow each position.
Fractional positions:
Al (0.2080, 0.0000, 0.2265)  2 Fe 2.65, 1 Br 2.72, 6 Al 2.80-2.95
Al (0.2920, 0.5000, 0.7735)  2 Fe 2.65, 1 Br 2.72, 6 Al 2.80-2.95
Al (0.7080, 0.5000, 0.2265)  2 Fe 2.65, 1 Br 2.72, 6 Al 2.80-2.95
Al (0.7920, 0.0000, 0.7735)  2 Fe 2.65, 1 Br 2.72, 6 Al 2.80-2.95
Fe (0.0000, 0.5000, 0.0000)  4 Al 2.65, 4 Br 2.68, 2 Fe 2.95
Fe (0.5000, 0.0000, 0.0000)  4 Al 2.65, 4 Br 2.68, 2 Fe 2.95
Br (0.0000, 0.0000, 0.5000)  4 Fe 2.68, 2 Al 2.72, 2 Br 2.95
Br (0.5000, 0.5000, 0.5000)  4 Fe 2.68, 2 Al 2.72, 2 Br 2.95

[2]
MnOF | GGA-PBEsol | relaxed

Computed properties:
The uncorrected formation energy comes out at -1.919 eV/atom. The value obtained for the density of states at the Fermi level is 0.87 states/eV/f.u.

Cell lengths 6.1544, 7.1480, 2.9720 Å; angles 90.00, 90.00, 90.00 degrees
Closest atoms and distances in Å follow each position.
Fractional positions:
Mn (0.0000, 0.0000, 0.0000)  4 O 1.92
Mn (0.0000, 0.5000, 0.5000)  2 O 1.86, 4 F 2.03
Mn (0.5000, 0.0000, 0.5000)  2 O 1.86, 4 F 2.03
Mn (0.5000, 0.5000, 0.0000)  4 O 1.92
O (0.1974, 0.0000, 0.5000)  3 Mn 1.86-1.92
O (0.3026, 0.5000, 0.5000)  3 Mn 1.86-1.92
O (0.6974, 0.5000, 0.5000)  3 Mn 1.86-1.92
O (0.8026, 0.0000, 0.5000)  3 Mn 1.86-1.92
F (0.0000, 0.3075, 0.0000)  3 Mn 2.03-2.20
F (0.0000, 0.6925, 0.0000)  3 Mn 2.03-2.20
F (0.5000, 0.1925, 0.0000)  3 Mn 2.03-2.20
F (0.5000, 0.8075, 0.0000)  3 Mn 2.03-2.20

[3]
CsCoPd3 | GGA-PBEsol | relaxed

Computed properties:
The total energy comes out at -16.0 eV/f.u. The value obtained for the density of states at the Fermi level is 5.98 states/eV/f.u.

Cell lengths 5.0824, 5.0824, 5.0824 Å; angles 90.00, 90.00, 90.00 degrees
Closest atoms and distances in Å follow each position.
Fractional positions:
Cs (0.0000, 0.0000, 0.0000)  6 Pd 2.54
Co (0.5000, 0.5000, 0.5000)  12 Pd 3.59
Pd (0.0000, 0.0000, 0.5000)  2 Cs 2.54
Pd (0.0000, 0.5000, 0.0000)  2 Cs 2.54
Pd (0.5000, 0.0000, 0.0000)  2 Cs 2.54

[4]
Rb2VAgSe4 | GGA-PBEsol | relaxed

Computed properties:
The uncorrected formation energy comes out at -0.834 eV/atom.

Cell lengths 13.6648, 12.2068, 7.4209 Å; angles 84.50, 62.77, 32.72 degrees
Closest atoms and distances in Å follow each position.
Fractional positions:
Rb (0.0566, 0.0566, 0.6934)  8 Se 3.41-3.77
Rb (0.3066, 0.3066, 0.9434)  8 Se 3.41-3.77
Rb (0.6934, 0.6934, 0.0566)  8 Se 3.41-3.77
Rb (0.9434, 0.9434, 0.3066)  8 Se 3.41-3.77
V (0.1250, 0.1250, 0.1250)  4 Se 2.30
V (0.8750, 0.8750, 0.8750)  4 Se 2.30
Ag (0.3750, 0.3750, 0.3750)  4 Se 2.57
Ag (0.6250, 0.6250, 0.6250)  4 Se 2.57
Se (0.0714, 0.2938, 0.3801)  1 V 2.30, 1 Ag 2.57
Se (0.2453, 0.6199, 0.7062)  1 V 2.30, 1 Ag 2.57
Se (0.2938, 0.0714, 0.7547)  1 V 2.30, 1 Ag 2.57
Se (0.3801, 0.7547, 0.0714)  1 V 2.30, 1 Ag 2.57
Se (0.6199, 0.2453, 0.9286)  1 V 2.30, 1 Ag 2.57
Se (0.7062, 0.9286, 0.2453)  1 V 2.30, 1 Ag 2.57
Se (0.7547, 0.3801, 0.2938)  1 V 2.30, 1 Ag 2.57
Se (0.9286, 0.7062, 0.6199)  1 V 2.30, 1 Ag 2.57

[5]
Re2AgW | GGA-PBEsol | relaxed

Computed properties:
The total energy comes out at -41.9 eV/f.u. The value obtained for the density of states at the Fermi level is 3.21 states/eV/f.u.

Cell lengths 9.2931, 2.8076, 4.7596 Å; angles 90.00, 101.31, 90.00 degrees
Closest atoms and distances in Å follow each position.
Fractional positions:
Re (0.0000, 0.0000, 0.0000)  5 Re 2.66-2.83, 4 W 2.68-2.86, 3 Ag 2.81-2.85
Re (0.2389, 0.5000, 0.2230)  5 Re 2.66-2.83, 4 Ag 2.74-2.78, 3 W 2.75-2.84
Re (0.5000, 0.5000, 0.0000)  5 Re 2.66-2.83, 4 W 2.68-2.86, 3 Ag 2.81-2.85
Re (0.7389, 0.0000, 0.2230)  5 Re 2.66-2.83, 4 Ag 2.74-2.78, 3 W 2.75-2.84
Ag (0.2428, 0.0000, 0.7295)  7 Re 2.74-2.85, 3 W 2.76-2.84, 2 Ag 2.81
Ag (0.7428, 0.5000, 0.7295)  7 Re 2.74-2.85, 3 W 2.76-2.84, 2 Ag 2.81
W (0.4851, 0.0000, 0.4727)  7 Re 2.68-2.86, 3 Ag 2.76-2.84, 2 W 2.81
W (0.9851, 0.5000, 0.4727)  7 Re 2.68-2.86, 3 Ag 2.76-2.84, 2 W 2.81

[6]
MnGa3Ir | GGA-PBEsol | relaxed

Computed properties:
The total energy comes out at -27.8 eV/f.u. The value obtained for the density of states at the Fermi level is 2.56 states/eV/f.u.

Cell lengths 4.7261, 4.7261, 4.7261 Å; angles 90.00, 90.00, 90.00 degrees
Closest atoms and distances in Å follow each position.
Fractional positions:
Mn (0.0000, 0.0000, 0.0000)  12 Ga 3.34
Ga (0.0000, 0.5000, 0.5000)  2 Ir 2.36
Ga (0.5000, 0.0000, 0.5000)  2 Ir 2.36
Ga (0.5000, 0.5000, 0.0000)  2 Ir 2.36
Ir (0.5000, 0.5000, 0.5000)  6 Ga 2.36

[7]
Mn2TlCd | GGA-PBEsol | relaxed

Computed properties:
The total energy comes out at -21.8 eV/f.u. The value obtained for the density of states at the Fermi level is 3.62 states/eV/f.u.

Cell lengths 2.9358, 2.9358, 7.8778 Å; angles 90.00, 90.00, 90.00 degrees
Closest atoms and distances in Å follow each position.
Fractional positions:
Mn (0.0000, 0.0000, 0.0000)  4 Mn 2.38
Mn (0.5000, 0.5000, 0.1484)  4 Mn 2.38
Tl (0.0000, 0.0000, 0.4211)  4 Tl 2.94, 4 Mn 2.99
Cd (0.5000, 0.5000, 0.7573)  5 Mn 2.82-3.08, 4 Cd 2.94

[8]
ReCF3 | GGA-PBEsol | relaxed

Computed properties:
The uncorrected formation energy comes out at 0.498 eV/atom. The value obtained for the density of states at the Fermi level is 5.29 states/eV/f.u.

Cell lengths 3.9961, 3.9961, 3.9961 Å; angles 90.00, 90.00, 90.00 degrees
Closest atoms and distances in Å follow each position.
Fractional positions:
Re (0.0000, 0.0000, 0.0000)  6 F 2.00
C (0.5000, 0.5000, 0.5000)  12 F 2.83
F (0.0000, 0.0000, 0.5000)  2 Re 2.00
F (0.0000, 0.5000, 0.0000)  2 Re 2.00
F (0.5000, 0.0000, 0.0000)  2 Re 2.00

[9]
La2RhAu | GGA-PBEsol | relaxed

Computed properties:
The total energy comes out at -24.8 eV/f.u. The value obtained for the density of states at the Fermi level is 3.15 states/eV/f.u.

Cell lengths 4.4045, 4.4045, 9.0350 Å; angles 90.00, 90.00, 90.00 degrees
Closest atoms and distances in Å follow each position.
Fractional positions:
La (0.0000, 0.0000, 0.0000)  4 Rh 3.11, 4 La 3.15, 4 Au 3.15
La (0.0000, 0.5000, 0.2500)  4 Au 3.11, 4 La 3.15, 4 Rh 3.15
La (0.5000, 0.0000, 0.7500)  4 Au 3.11, 4 La 3.15, 4 Rh 3.15
La (0.5000, 0.5000, 0.5000)  4 Rh 3.11, 4 La 3.15, 4 Au 3.15
Rh (0.0000, 0.0000, 0.5000)  8 La 3.11-3.15, 4 Au 3.15
Rh (0.5000, 0.5000, 0.0000)  8 La 3.11-3.15, 4 Au 3.15
Au (0.0000, 0.5000, 0.7500)  8 La 3.11-3.15, 4 Rh 3.15
Au (0.5000, 0.0000, 0.2500)  8 La 3.11-3.15, 4 Rh 3.15

[10]
Ca2Be2As | GGA-PBEsol | relaxed

Computed properties:
The total energy comes out at -17.2 eV/f.u. The value obtained for the density of states at the Fermi level is 2.13 states/eV/f.u.

Cell lengths 5.6560, 5.6560, 6.1987 Å; angles 90.00, 90.00, 90.00 degrees
Closest atoms and distances in Å follow each position.
Fractional positions:
Ca (0.0000, 0.5000, 0.2500)  4 Be 2.89, 2 Ca 3.10, 4 As 3.22
Ca (0.0000, 0.5000, 0.7500)  4 Be 2.89, 2 Ca 3.10, 4 As 3.22
Ca (0.5000, 0.0000, 0.2500)  4 Be 2.89, 2 Ca 3.10, 4 As 3.22
Ca (0.5000, 0.0000, 0.7500)  4 Be 2.89, 2 Ca 3.10, 4 As 3.22
Be (0.0000, 0.0000, 0.1532)  1 Be 1.90
Be (0.0000, 0.0000, 0.8468)  1 Be 1.90
Be (0.5000, 0.5000, 0.3468)  1 Be 1.90
Be (0.5000, 0.5000, 0.6532)  1 Be 1.90
As (0.0000, 0.0000, 0.5000)  2 Be 2.15
As (0.5000, 0.5000, 0.0000)  2 Be 2.15

Q: What is the formula in the ninth record?
A: La2RhAu